[1]
Compound: CsCd2Hg4
Source: Alexandria via LeMat-Bulk
Functional: PBE
Structure: optimized geometry

a b c (Å): 5.518 14.530 5.579
angles (deg): 90.00 90.00 90.00
Space group Cmmm (No. 65)
Unique sites:
Cs  0.000  0.000  0.000
Cd  0.000  0.400  0.500
Hg  0.000  0.183  0.500
Hg  0.000  0.306  0.000

Calculated values
Formation energy = -11.1 kJ/mol of atoms
E = -4.70 eV per formula unit
M_tot = 0.00 μB per formula unit
Density = 8.61 g/cm³
Excess energy over the best structure of this formula in the dataset = 0 meV/atom

[2]
Compound: PaTaTe4
Source: Alexandria via LeMat-Bulk
Functional: PBE
Structure: optimized geometry

a b c (Å): 9.394 10.859 6.532
angles (deg): 90.00 92.69 90.00
Space group C2/c (No. 15)
Unique sites:
Pa  0.000  0.013  0.250
Ta  0.000  0.442  0.750
Te  0.088  0.229  0.983
Te  0.214  0.420  0.460

Calculated values
Energy relative to the elements, uncorrected = -0.342 eV/atom
E = -35.97 eV per formula unit
M_tot = 0.00 μB per formula unit
Density = 9.21 g/cm³
Excess energy over the best structure of this formula in the dataset = 167 meV/atom

[3]
Compound: Pm12Sc5Zn3
Source: Alexandria via LeMat-Bulk
Functional: PBE
Structure: optimized geometry

a b c (Å): 17.749 17.749 17.749
angles (deg): 90.00 90.00 90.00
Space group Ia-3d (No. 230)
Unique sites:
Pm  0.011  0.080  0.651
Sc  0.000  0.000  0.000
Sc  0.000  0.250  0.375
Zn  0.000  0.250  0.125

Calculated values
Formation energy = 74.9 kJ/mol of atoms
E = -76.96 eV per formula unit
M_tot = 0.05 μB per formula unit
Density = 5.13 g/cm³

[4]
Compound: ZrSbTe2Se
Source: Alexandria via LeMat-Bulk
Functional: PBE
Structure: optimized geometry

a b c (Å): 5.301 5.301 5.383
angles (deg): 90.00 90.00 90.00
Space group P4/mmm (No. 123)
Unique sites:
Zr  0.000  0.000  0.000
Sb  0.500  0.500  0.000
Te  0.000  0.500  0.500
Se  0.500  0.500  0.500

Calculated values
Energy relative to the elements, uncorrected = 0.554 eV/atom
E = -19.67 eV per formula unit
M_tot = 0.81 μB per formula unit
Density = 6.01 g/cm³
Excess energy over the best structure of this formula in the dataset = 322 meV/atom

| no. | DOS(E_F) (states/eV/cell) |
| --- | --- |
| 1 | 5.80 |
| 2 | 18.46 |
| 3 | 274.75 |
| 4 | 4.81 |